Ti2FeAuC after structural relaxation, computed with PBE-GGA.

Values from the calculation:
Space group ... P4/mmm (123)
M_tot ... 0.24 μB/atom
Formation enthalpy at 0 K ... -0.431 eV/atom

Unit cell a=4.226 b=4.226 c=3.780 alpha=90.00 beta=90.00 gamma=90.00
Sites, in units of the cell vectors:
Ti 0.000 0.500 0.000
Ti 0.500 0.000 0.000
Fe 0.000 0.000 0.500
C 0.000 0.000 0.000
Au 0.500 0.500 0.500